This record from the Alexandria database describes an optimized crystal structure of USi3Ir5. The functional is PBE.

Cell: 2.900 6.650 14.812 Å, 90.01 90.00 102.60°
Each line ends with the local moment (μB).
Positions (direct):
Ir  0.517  0.035  0.157  -0.06
Ir  0.820  0.640  0.103  -0.04
Si  0.655  0.311  0.034  0.00
Si  0.345  0.689  0.966  0.00
Ir  0.180  0.360  0.897  -0.04
Ir  0.518  0.035  0.344  -0.06
Ir  0.482  0.965  0.656  -0.06
Si  0.907  0.813  0.250  0.00
Si  0.655  0.311  0.466  0.00
U  0.188  0.376  0.250  1.78
U  0.812  0.624  0.750  1.78
Ir  0.483  0.965  0.843  -0.06
Ir  0.820  0.640  0.397  -0.04
Ir  0.180  0.360  0.603  -0.04
Si  0.345  0.689  0.534  0.00
Ir  0.000  0.000  0.000  -0.01
Ir  0.000  0.000  0.500  -0.01
Si  0.093  0.187  0.750  0.00

Computed properties:
Total magnetization = 3.3 μB per cell
Calculated total energy = -152.18 eV for the cell shown



This record from the Alexandria database describes an optimized crystal structure of CaHgPb2. The functional is PBE.

Cell: 3.949 4.019 7.405 Å, 90.00 90.00 90.00°
Positions (direct):
Ca  0.000  0.000  0.519
Pb  0.500  0.500  0.238
Pb  0.000  0.000  0.996
Hg  0.500  0.500  0.746

Computed properties:
Total magnetization = 0.0 μB per cell
Calculated total energy = -10.79 eV for the cell shown
Formation energy from the elements = -1.071 eV/f.u.



This record from the Alexandria database describes an optimized crystal structure of Ac3Sn5. The functional is PBE.

Cell: 5.027 7.170 7.170 Å, 95.77 90.00 90.00°
Positions (direct):
Sn  0.500  0.737  0.737
Sn  0.000  0.000  0.000
Ac  0.500  0.782  0.218
Sn  0.000  0.500  0.000
Ac  0.000  0.500  0.500
Sn  0.500  0.263  0.263
Sn  0.000  0.000  0.500
Ac  0.500  0.218  0.782

Computed properties:
Total magnetization = 0.0 μB per cell
Calculated total energy = -36.80 eV for the cell shown
Formation energy from the elements = -4.464 eV/f.u.
Relative energy among the computed polymorphs = 4 meV per atom



This record from the Alexandria database describes an optimized crystal structure of Cr7As. The functional is PBE.

Cell: 5.148 5.148 5.148 Å, 60.00 60.00 60.00°
Positions (direct):
Cr  0.500  0.500  0.500
Cr  0.000  0.500  0.500
Cr  0.000  0.500  0.000
Cr  0.000  0.000  0.500
As  0.000  0.000  0.000
Cr  0.500  0.000  0.500
Cr  0.500  0.500  0.000
Cr  0.500  0.000  0.000

Computed properties:
Total magnetization = 0.0 μB per cell
Calculated total energy = -69.85 eV for the cell shown
Formation energy from the elements = 2.168 eV/f.u.



This record from the Alexandria database describes an optimized crystal structure of PmCoCu. The functional is PBE.

Cell: 3.372 3.372 5.309 Å, 108.52 108.52 90.00°
Each line ends with the local moment (μB).
Positions (direct):
Co  0.253  0.253  0.507  1.28
Cu  0.650  0.650  0.301  0.00
Pm  0.946  0.946  0.892  -0.10

Computed properties:
Total magnetization = 1.1 μB per cell
Calculated total energy = -15.62 eV for the cell shown
Formation energy from the elements = 0.333 eV/f.u.
Relative energy among the computed polymorphs = 246 meV per atom



This record from the Alexandria database describes an optimized crystal structure of Tb3HoSc. The functional is PBE.

Cell: 5.546 6.179 9.445 Å, 109.18 90.00 90.00°
Positions (direct):
Tb  0.750  0.936  0.209
Sc  0.750  0.131  0.596
Tb  0.250  0.458  0.598
Sc  0.250  0.869  0.404
Tb  0.250  0.064  0.791
Tb  0.750  0.542  0.402
Ho  0.750  0.732  0.798
Tb  0.750  0.331  0.997
Ho  0.250  0.268  0.202
Tb  0.250  0.669  0.003

Computed properties:
Total magnetization = 0.0 μB per cell
Calculated total energy = -49.36 eV for the cell shown
Formation energy from the elements = 0.121 eV/f.u.
Relative energy among the computed polymorphs = 0 meV per atom



This record from the Alexandria database describes an optimized crystal structure of Sc2CoBr. The functional is PBE.

Cell: 7.662 7.662 7.662 Å, 154.35 155.13 36.03°
Positions (direct):
Sc  0.776  0.276  0.500
Br  0.449  0.449  0.000
Co  0.199  0.699  0.500
Sc  0.076  0.076  0.000

Computed properties:
Total magnetization = 0.0 μB per cell
Calculated total energy = -23.43 eV for the cell shown
Relative energy among the computed polymorphs = 146 meV per atom



This record from the Alexandria database describes an optimized crystal structure of Pr4NdGa5. The functional is PBE.

Cell: 3.719 3.719 18.606 Å, 90.00 90.00 90.00°
Positions (direct):
Ga  0.500  0.500  0.299
Pr  0.000  0.000  0.400
Pr  0.000  0.000  0.199
Ga  0.500  0.500  0.902
Ga  0.500  0.500  0.701
Pr  0.000  0.000  0.600
Ga  0.500  0.500  0.098
Ga  0.500  0.500  0.500
Pr  0.000  0.000  0.801
Nd  0.000  0.000  0.000

Computed properties:
Total magnetization = 0.0 μB per cell
Calculated total energy = -44.49 eV for the cell shown
Formation energy from the elements = -5.469 eV/f.u.



This record from the Alexandria database describes an optimized crystal structure of Pm5Pr4Zn. The functional is PBE.

Cell: 3.688 4.902 18.187 Å, 90.00 90.00 90.00°
Positions (direct):
Pr  0.000  0.000  0.807
Pm  0.500  0.500  0.914
Pr  0.000  0.000  0.396
Pm  0.500  0.500  0.711
Pm  0.500  0.500  0.500
Zn  0.000  0.000  0.000
Pr  0.000  0.000  0.193
Pm  0.500  0.500  0.086
Pr  0.000  0.000  0.604
Pm  0.500  0.500  0.289

Computed properties:
Total magnetization = 0.0 μB per cell
Calculated total energy = -44.06 eV for the cell shown
Formation energy from the elements = 0.084 eV/f.u.



This record from the Alexandria database describes an optimized crystal structure of Ni2HgAu. The functional is PBE.

Cell: 4.433 4.433 4.433 Å, 60.00 60.00 60.00°
Positions (direct):
Ni  0.250  0.250  0.250
Ni  0.000  0.000  0.000
Au  0.500  0.500  0.500
Hg  0.750  0.750  0.750

Computed properties:
Total magnetization = 0.0 μB per cell
Calculated total energy = -14.04 eV for the cell shown
Formation energy from the elements = 1.101 eV/f.u.



This record from the Alexandria database describes an optimized crystal structure of Tb5Pa3As8. The functional is PBE.

Cell: 8.233 8.233 8.225 Å, 59.97 59.97 60.00°
Positions (direct):
As  0.754  0.250  0.746
Tb  0.500  0.500  0.500
As  0.751  0.751  0.747
As  0.750  0.750  0.254
Tb  0.500  0.500  0.000
As  0.250  0.250  0.746
Tb  0.500  0.000  0.000
Pa  0.000  0.000  0.500
Pa  0.000  0.500  0.500
Tb  0.000  0.500  0.000
As  0.249  0.249  0.253
As  0.246  0.750  0.254
Pa  0.500  0.000  0.500
As  0.250  0.754  0.746
Tb  0.000  0.000  0.000
As  0.750  0.246  0.254

Computed properties:
Total magnetization = 0.0 μB per cell
Calculated total energy = -110.53 eV for the cell shown
Formation energy from the elements = -21.693 eV/f.u.



This record from the Alexandria database describes an optimized crystal structure of BeCuIr4. The functional is PBE.

Cell: 5.110 5.110 5.110 Å, 60.00 60.00 60.00°
Positions (direct):
Ir  0.375  0.375  0.375
Ir  0.375  0.874  0.375
Be  0.750  0.750  0.750
Cu  0.000  0.000  0.000
Ir  0.375  0.375  0.874
Ir  0.874  0.375  0.375

Computed properties:
Total magnetization = 0.0 μB per cell
Calculated total energy = -39.44 eV for the cell shown
Formation energy from the elements = 3.831 eV/f.u.



This record from the Alexandria database describes an optimized crystal structure of CoHg2Cl. The functional is PBE.

Cell: 7.802 7.802 7.802 Å, 157.91 150.38 37.25°
Each line ends with the local moment (μB).
Positions (direct):
Co  0.250  0.750  0.500  1.85
Hg  0.074  0.074  0.000  0.01
Hg  0.426  0.426  0.000  0.01
Cl  0.750  0.250  0.500  0.07

Computed properties:
Total magnetization = 1.9 μB per cell
Calculated total energy = -8.80 eV for the cell shown
Relative energy among the computed polymorphs = 207 meV per atom



This record from the Alexandria database describes an optimized crystal structure of La4YTe5. The functional is PBE.

Cell: 4.539 4.539 16.384 Å, 97.96 97.96 90.00°
Positions (direct):
Te  0.500  0.500  0.000
Y  0.000  0.000  0.000
La  0.197  0.197  0.393
Te  0.702  0.702  0.404
La  0.803  0.803  0.607
Te  0.096  0.096  0.192
La  0.399  0.399  0.798
Te  0.904  0.904  0.808
La  0.601  0.601  0.202
Te  0.298  0.298  0.596

Computed properties:
Total magnetization = 0.0 μB per cell
Calculated total energy = -57.16 eV for the cell shown
Relative energy among the computed polymorphs = 7 meV per atom



This record from the Alexandria database describes an optimized crystal structure of Rb2InHgH. The functional is PBE.

Cell: 5.683 5.683 5.030 Å, 90.00 90.00 90.00°
Positions (direct):
Rb  0.500  0.000  0.000
H  0.000  0.000  0.000
Rb  0.000  0.500  0.000
Hg  0.500  0.500  0.500
In  0.000  0.000  0.500

Computed properties:
Total magnetization = 0.0 μB per cell
Calculated total energy = -8.28 eV for the cell shown



This record from the Alexandria database describes an optimized crystal structure of Li2ZrNbO6. The functional is PBE.

Cell: 5.275 5.275 5.697 Å, 62.42 62.42 60.00°
Each line ends with the local moment (μB).
Positions (direct):
O  0.436  0.693  0.769  0.24
O  0.585  0.213  0.257  0.07
Nb  0.311  0.312  0.066  -0.04
Li  0.530  0.530  0.411  0.00
O  0.693  0.101  0.769  0.24
O  0.213  0.945  0.257  0.07
O  0.945  0.585  0.257  0.07
Li  0.030  0.030  0.910  0.00
O  0.101  0.436  0.769  0.24
Zr  0.817  0.817  0.549  -0.03

Computed properties:
Total magnetization = 1.1 μB per cell
Calculated total energy = -76.44 eV for the cell shown



This record from the Alexandria database describes an optimized crystal structure of Ba6CdPd. The functional is PBE.

Cell: 8.070 8.068 9.104 Å, 63.69 63.74 60.03°
Positions (direct):
Ba  0.235  0.934  0.238
Ba  0.765  0.066  0.762
Pd  0.000  0.000  0.000
Ba  0.406  0.765  0.762
Ba  0.933  0.594  0.238
Ba  0.594  0.235  0.238
Cd  0.500  0.500  0.500
Ba  0.067  0.406  0.762

Computed properties:
Total magnetization = 0.0 μB per cell
Calculated total energy = -19.25 eV for the cell shown
Formation energy from the elements = -1.609 eV/f.u.
Relative energy among the computed polymorphs = 0 meV per atom



This record from the Alexandria database describes an optimized crystal structure of HfMg2HPd. The functional is PBE.

Cell: 4.235 4.235 4.276 Å, 90.00 90.00 90.00°
Positions (direct):
Hf  0.000  0.000  0.500
Mg  0.500  0.000  0.000
Pd  0.500  0.500  0.500
H  0.000  0.000  0.000
Mg  0.000  0.500  0.000

Computed properties:
Total magnetization = 0.0 μB per cell
Calculated total energy = -22.81 eV for the cell shown



This record from the Alexandria database describes an optimized crystal structure of Ca2HfWC. The functional is PBE.

Cell: 6.003 4.078 6.003 Å, 90.00 90.00 90.00°
Each line ends with the local moment (μB).
Positions (direct):
Ca  0.000  0.000  0.500  -0.01
C  0.000  0.500  0.000  0.07
W  0.500  0.500  0.500  2.85
Ca  0.500  0.000  0.000  -0.02
Hf  0.000  0.000  0.000  -0.21

Computed properties:
Total magnetization = 3.6 μB per cell
Calculated total energy = -26.57 eV for the cell shown
Formation energy from the elements = 9.563 eV/f.u.



This record from the Alexandria database describes an optimized crystal structure of Dy3Er3Th. The functional is PBE.

Cell: 6.546 6.546 10.502 Å, 90.76 90.76 95.20°
Positions (direct):
Dy  0.972  0.972  0.747
Dy  0.127  0.484  0.753
Er  0.817  0.183  0.000
Dy  0.873  0.516  0.247
Er  0.809  0.191  0.500
Dy  0.516  0.873  0.247
Er  0.191  0.809  0.500
Th  0.334  0.334  0.081
Er  0.183  0.817  0.000
Dy  0.028  0.028  0.253
Th  0.666  0.666  0.919
Er  0.677  0.677  0.562
Dy  0.484  0.127  0.753
Er  0.323  0.323  0.438

Computed properties:
Total magnetization = 0.0 μB per cell
Calculated total energy = -67.67 eV for the cell shown
Formation energy from the elements = 1.080 eV/f.u.
Relative energy among the computed polymorphs = 135 meV per atom



This record from the Alexandria database describes an optimized crystal structure of KVMo2. The functional is PBE.

Cell: 4.610 4.610 4.610 Å, 60.00 60.00 60.00°
Positions (direct):
K  0.000  0.000  0.000
Mo  0.250  0.250  0.250
V  0.500  0.500  0.500
Mo  0.750  0.750  0.750

Computed properties:
Total magnetization = 0.0 μB per cell
Calculated total energy = -25.48 eV for the cell shown
Formation energy from the elements = 6.398 eV/f.u.
Relative energy among the computed polymorphs = 0 meV per atom



This record from the Alexandria database describes an optimized crystal structure of RbSrCo3. The functional is PBE.

Cell: 5.641 5.641 5.641 Å, 90.00 90.00 90.00°
Each line ends with the local moment (μB).
Positions (direct):
Co  0.000  0.500  0.000  2.13
Rb  0.500  0.500  0.500  -0.01
Co  0.000  0.000  0.500  1.91
Sr  0.000  0.000  0.000  -0.10
Co  0.500  0.000  0.000  2.10

Computed properties:
Total magnetization = 6.0 μB per cell
Calculated total energy = -14.77 eV for the cell shown
Formation energy from the elements = 9.200 eV/f.u.
Relative energy among the computed polymorphs = 0 meV per atom



This record from the Alexandria database describes an optimized crystal structure of CaSbP2. The functional is PBE.

Cell: 7.255 7.255 7.255 Å, 31.45 31.45 31.45°
Positions (direct):
P  0.992  0.992  0.992
P  0.508  0.508  0.508
Ca  0.750  0.750  0.750
Sb  0.250  0.250  0.250

Computed properties:
Total magnetization = 0.0 μB per cell
Calculated total energy = -18.45 eV for the cell shown



This record from the Alexandria database describes an optimized crystal structure of Pa3Ge4Ru2. The functional is PBE.

Cell: 4.276 5.783 8.269 Å, 108.35 90.00 111.70°
Positions (direct):
Ge  0.081  0.162  0.387
Ge  0.289  0.578  0.932
Ge  0.711  0.422  0.068
Pa  0.000  0.000  0.000
Ru  0.306  0.613  0.640
Pa  0.368  0.735  0.316
Ru  0.694  0.387  0.360
Ge  0.919  0.838  0.613
Pa  0.632  0.265  0.684

Computed properties:
Total magnetization = 0.0 μB per cell
Calculated total energy = -70.55 eV for the cell shown
Formation energy from the elements = -5.044 eV/f.u.



This record from the Alexandria database describes an optimized crystal structure of NaDy2Cu. The functional is PBE.

Cell: 3.430 3.430 9.472 Å, 90.00 90.00 90.00°
Positions (direct):
Na  0.500  0.500  0.500
Dy  0.000  0.000  0.179
Dy  0.000  0.000  0.821
Cu  0.500  0.500  0.000

Computed properties:
Total magnetization = 0.0 μB per cell
Calculated total energy = -14.54 eV for the cell shown
Formation energy from the elements = 0.080 eV/f.u.
Relative energy among the computed polymorphs = 0 meV per atom